Material: CsNaGaAg2
Method: DFT, PBE
State: optimized geometry

Summary:
* mass density: 4.71 g/cm3
* raw total energy: -10.562 eV per cell
* space-group type: P4/mmm (123)
* formation energy from the elements: 68 meV/atom

Unit cell a=5.217 b=5.217 c=5.720 alpha=90.00 beta=90.00 gamma=90.00
Positions (direct):
Ga 0.000 0.000 0.000
Ag 0.500 0.000 0.000
Cs 0.500 0.500 0.500
Na 0.000 0.000 0.500
Ag 0.000 0.500 0.000